# 1
SrB6P2: relaxed, PBE.

abc: 6.225 6.224 3.352
angles: 90.00 89.99 60.00
Fractional positions:
Sr1 0.000 0.000 0.000
B1 0.000 0.500 0.757
B2 0.500 0.500 0.757
B3 0.500 0.000 0.757
B4 0.500 0.500 0.243
B5 0.000 0.500 0.243
B6 0.500 0.000 0.243
P1 0.333 0.333 0.500
P2 0.667 0.667 0.500

- Space group: P6/mmm (191)
- DOS(E_F): 0.247 states/eV/atom
- Calculated total energy: -5.4186 eV/atom



# 2
TcPd2C: relaxed, PBE.

abc: 7.290 7.290 5.579
angles: 49.21 49.21 90.00
Last column: magnetic moment on the atom in μB.
Fractional positions:
C1 0.500 0.500 0.000  -0.03
C2 0.250 0.750 0.500  -0.03
Tc1 0.000 0.000 0.000  0.96
Tc2 0.750 0.250 0.500  0.96
Pd1 0.508 0.125 0.250  0.09
Pd2 0.242 0.625 0.250  0.08
Pd3 0.375 0.492 0.750  0.09
Pd4 0.875 0.758 0.750  0.09

- Space group: I-42d (122)
- DOS(E_F): 1.071 states/eV/atom
- Calculated total energy: -6.7430 eV/atom



# 3
FeCuS: relaxed, PBE.

abc: 3.707 3.704 5.416
angles: 90.00 90.00 90.00
Fractional positions:
Cu1 0.500 0.500 0.354
Cu2 0.000 0.000 0.646
S1 0.500 0.500 0.771
S2 0.000 0.000 0.229
Fe1 0.000 0.500 0.000
Fe2 0.500 0.000 0.000

- Raw formation energy: -0.0502 eV/atom
- Space group: P4/nmm (129)
- DOS(E_F): 0.848 states/eV/atom



# 4
ErScBr6: relaxed, PBE.

abc: 6.731 6.733 7.518
angles: 63.40 82.17 72.29
Fractional positions:
Er1 0.500 0.500 0.000
Sc1 0.000 0.000 0.000
Br1 0.760 0.380 0.721
Br2 0.760 0.100 0.279
Br3 0.240 0.900 0.721
Br4 0.240 0.620 0.279
Br5 0.755 0.755 0.000
Br6 0.245 0.245 0.000

- Energy relative to the lowest polymorph listed for this composition: 0 meV/atom
- Raw formation energy: -1.7396 eV/atom
- Space group: C2/m (12)
- DOS(E_F): 0.000 states/eV/atom



# 5
Na2In8Sn: relaxed, PBE.

abc: 5.143 7.224 9.461
angles: 113.29 106.91 87.13
Fractional positions:
Na1 0.675 0.675 0.351
Na2 0.325 0.325 0.649
In1 0.154 0.363 0.288
In2 0.866 0.075 0.712
In3 0.747 0.383 0.000
In4 0.702 0.202 0.403
In5 0.298 0.798 0.597
In6 0.253 0.617 0.000
In7 0.134 0.925 0.288
In8 0.846 0.637 0.712
Sn1 0.500 0.000 0.000

- Energy relative to the lowest polymorph listed for this composition: 54 meV/atom
- Space group: C2/m (12)
- DOS(E_F): 0.368 states/eV/atom



# 6
Rb4Dy3BiO8: relaxed, PBE.

abc: 7.094 7.743 7.094
angles: 117.27 120.00 90.00
Fractional positions:
Rb1 0.500 0.000 0.000
Rb2 0.500 0.000 0.500
Rb3 0.000 0.000 0.000
Rb4 0.000 0.000 0.500
Dy1 0.500 0.500 0.000
Dy2 0.500 0.500 0.500
Dy3 0.000 0.500 0.500
Bi1 0.000 0.500 0.000
O1 0.233 0.680 0.947
O2 0.233 0.680 0.466
O3 0.275 0.325 0.550
O4 0.714 0.680 0.947
O5 0.286 0.320 0.053
O6 0.725 0.675 0.450
O7 0.767 0.320 0.534
O8 0.767 0.320 0.053

- Raw formation energy: -2.3448 eV/atom
- Space group: R-3m (166)
- DOS(E_F): 0.000 states/eV/atom



Q: Which value of DOS(E_F) does entry 2 give?
A: 1.071 states/eV/atom